[1]
Density functional theory data (PBE-GGA) for a geometry-optimized ZrTlMo structure.

As for the polymorph energy (0 for the lowest one): 0.583 eV/f.u. Its energy of formation from the pure elements is 0.404 eV/atom.

It has space group I4mm (No. 107), with a = 2.975 Å, b = 2.975 Å, c = 13.927 Å, α = 90.00°, β = 90.00° and γ = 90.00°. The asymmetric unit holds Zr at (0.000, 0.000, 0.000), Tl at (0.000, 0.000, 0.681) and Mo at (0.000, 0.000, 0.342).


[2]
Density functional theory data (PBE-GGA) for a geometry-optimized Sm3YTl3Se8 structure.

Its uncorrected formation energy is -1387 meV per atom.

It has space group R-3m (No. 166, hexagonal axes), with a = 8.4775 Å, b = 8.4775 Å, c = 22.8510 Å, α = 90.00°, β = 90.00° and γ = 120.00°. The asymmetric unit holds Sm at (0.0000, 0.5000, 0.0000), Y at (0.0000, 0.0000, 0.0000), Tl at (0.0000, 0.5000, 0.5000), Se at (0.0000, 0.0000, 0.2623) and Se at (0.0047, 0.5024, 0.7364).


[3]
Density functional theory data (PBE-GGA) for a geometry-optimized Pm4Pu3Se8 structure.

Its uncorrected formation energy is -1745 meV per atom.

It has space group C2/m (No. 12), with a = 11.769 Å, b = 11.779 Å, c = 8.322 Å, α = 90.00°, β = 134.87° and γ = 90.00°. The asymmetric unit holds Pm at (0.000, 0.000, 0.000), Pm at (0.000, 0.500, 0.500), Pm at (0.250, 0.250, 0.000), Pu at (0.000, 0.000, 0.500), Pu at (0.250, 0.250, 0.500), Se at (0.000, 0.248, 0.500), Se at (0.000, 0.252, 0.000), Se at (0.247, 0.500, 0.001) and Se at (0.250, 0.000, 0.504).


[4]
Density functional theory data (PBE-GGA) for a geometry-optimized Rb3Pm3AlO8 structure.

Its uncorrected formation energy is -2426 meV per atom.

It has space group R-3m (No. 166, hexagonal axes), with a = 6.9655 Å, b = 6.9655 Å, c = 19.8371 Å, α = 90.00°, β = 90.00° and γ = 120.00°. The asymmetric unit holds Rb at (0.0000, 0.5000, 0.0000), Pm at (0.0000, 0.5000, 0.5000), Al at (0.0000, 0.0000, 0.5000), O at (0.0000, 0.0000, 0.2264) and O at (0.0438, 0.5219, 0.2201).


[5]
Density functional theory data (PBE-GGA) for a geometry-optimized SrGe2Sb2 structure.

Its uncorrected formation energy is -142 meV per atom.

It has space group P4/mbm (No. 127), with a = 8.153 Å, b = 8.153 Å, c = 3.981 Å, α = 90.00°, β = 90.00° and γ = 90.00°. The asymmetric unit holds Sr at (0.000, 0.000, 0.000), Ge at (0.118, 0.382, 0.000) and Sb at (0.169, 0.669, 0.500).


[6]
Density functional theory data (PBE-GGA) for a geometry-optimized Pr6Nd2Zn structure.

As for the polymorph energy (0 for the lowest one): 0.416 eV/f.u. Its energy of formation from the pure elements is 0.007 eV/atom.

It has space group Pnnm (No. 58), with a = 10.153 Å, b = 10.629 Å, c = 5.636 Å, α = 90.00°, β = 90.00° and γ = 90.00°. The asymmetric unit holds Pr at (0.013, 0.195, 0.000), Pr at (0.135, 0.603, 0.500), Pr at (0.193, 0.928, 0.500), Nd at (0.186, 0.251, 0.500) and Zn at (0.000, 0.500, 0.000).